No. 1
Entry from Alexandria via LeMat-Bulk: an optimized crystal structure of BaY4 (GGA-PBE).

Results
Polymorph energy (0 for the lowest one)   0.00 kcal/mol of atoms
E_form   0.186 eV/atom

Cell: 8.3062 8.3062 5.1975 Å, 90.00 90.00 90.00°
Sites, in units of the cell vectors:
Ba  0.0000  0.0000  0.0000
Ba  0.5000  0.5000  0.5000
Y  0.0961  0.3102  0.5000
Y  0.1898  0.5961  0.0000
Y  0.3102  0.9039  0.5000
Y  0.4039  0.1898  0.0000
Y  0.5961  0.8102  0.0000
Y  0.6898  0.0961  0.5000
Y  0.8102  0.4039  0.0000
Y  0.9039  0.6898  0.5000



No. 2
Entry from Alexandria via LeMat-Bulk: an optimized crystal structure of Pm2SbO (GGA-PBE).

Results
Polymorph energy (0 for the lowest one)   7.17 kcal/mol of atoms

Cell: 3.8558 3.8558 21.1901 Å, 90.00 90.00 120.00°
Sites, in units of the cell vectors:
Pm  0.0000  0.0000  0.2287
Pm  0.0000  0.0000  0.7713
Pm  0.3333  0.6667  0.4379
Pm  0.3333  0.6667  0.8954
Pm  0.6667  0.3333  0.1046
Pm  0.6667  0.3333  0.5621
Sb  0.0000  0.0000  0.0000
Sb  0.3333  0.6667  0.6667
Sb  0.6667  0.3333  0.3333
O  0.0000  0.0000  0.5000
O  0.3333  0.6667  0.1667
O  0.6667  0.3333  0.8333



No. 3
Entry from Alexandria via LeMat-Bulk: an optimized crystal structure of NdGa8Fe4 (GGA-PBE).

Results
E_form   -0.276 eV/atom

Cell: 6.7144 6.7144 6.7144 Å, 98.22 98.22 135.57°
Sites, in units of the cell vectors:
Nd  0.0000  0.0000  0.0000
Ga  0.0000  0.3416  0.3416
Ga  0.0000  0.6584  0.6584
Ga  0.2743  0.5000  0.7743
Ga  0.3416  0.0000  0.3416
Ga  0.5000  0.2743  0.7743
Ga  0.5000  0.7257  0.2257
Ga  0.6584  0.0000  0.6584
Ga  0.7257  0.5000  0.2257
Fe  0.0000  0.0000  0.5000
Fe  0.0000  0.5000  0.0000
Fe  0.5000  0.0000  0.0000
Fe  0.5000  0.5000  0.5000



No. 4
Entry from Alexandria via LeMat-Bulk: an optimized crystal structure of LaNbOF2 (GGA-PBE).

Results
Raw total energy   -0.2297 Ha/atom

Cell: 4.6837 4.6837 4.6457 Å, 90.00 90.00 90.00°
Sites, in units of the cell vectors:
La  0.0000  0.0000  0.0000
Nb  0.5000  0.5000  0.5000
O  0.0000  0.0000  0.5000
F  0.0000  0.5000  0.0000
F  0.5000  0.0000  0.0000